#A
A plane-wave DFT calculation with PBE-GGA was carried out for Li2BiO3 after structural relaxation.

Lattice parameters (Å, degrees): 5.6904 5.6904 10.3969 85.89 85.89 119.17
Sites, in units of the cell vectors:
O (0.4212, 0.9052, 0.3708)
O (0.7491, 0.5251, 0.3692)
O (0.2509, 0.4749, 0.6308)
O (0.0948, 0.5788, 0.1292)
O (0.4749, 0.2509, 0.1308)
O (0.5251, 0.7491, 0.8692)
O (0.8030, 0.9681, 0.1252)
O (0.1970, 0.0319, 0.8748)
O (0.0319, 0.1970, 0.3748)
O (0.9681, 0.8030, 0.6252)
O (0.9052, 0.4212, 0.8708)
O (0.5788, 0.0948, 0.6292)
Bi (0.5711, 0.4289, 0.7500)
Bi (0.4289, 0.5711, 0.2500)
Bi (0.2388, 0.7612, 0.7500)
Bi (0.7612, 0.2388, 0.2500)
Li (0.7044, 0.9035, 0.5049)
Li (0.9035, 0.7044, 0.0049)
Li (0.0958, 0.9042, 0.2500)
Li (0.0000, 0.5000, 0.5000)
Li (0.5000, 0.0000, 0.0000)
Li (0.9042, 0.0958, 0.7500)
Li (0.2956, 0.0965, 0.4951)
Li (0.0965, 0.2956, 0.9951)

Calculated density: 6.2 g cm⁻³
Volume: 290.99 Å³/cell
Magnetic moment: 0.0 μB per cell
Symmetry: C2/c (15)



#B
A plane-wave DFT calculation with PBE-GGA was carried out for Li2BiO3 after structural relaxation.

Lattice parameters (Å, degrees): 5.5424 5.5424 5.6424 80.04 80.04 119.89
Sites, in units of the cell vectors:
O (0.6888, 0.8431, 0.7384)
O (0.3285, 0.1742, 0.7435)
O (0.1742, 0.3285, 0.2435)
O (0.0086, 0.5084, 0.7407)
O (0.8431, 0.6888, 0.2384)
O (0.5084, 0.0086, 0.2407)
Li (0.7593, 0.2571, 0.4925)
Li (0.2571, 0.7593, 0.9925)
Li (0.5844, 0.4328, 0.9916)
Li (0.4328, 0.5844, 0.4916)
Bi (0.9170, 0.1002, 0.9911)
Bi (0.1002, 0.9170, 0.4911)

Calculated density: 6.4 g cm⁻³
Volume: 141.02 Å³/cell
Magnetic moment: 0.0 μB per cell
Symmetry: Cc (9)



#C
A plane-wave DFT calculation with PBE-GGA was carried out for Li2BiO3 after structural relaxation.

Lattice parameters (Å, degrees): 5.7869 5.7869 5.6421 90.00 90.00 121.08
Sites, in units of the cell vectors:
Bi (0.7828, 0.7828, 0.9617)
Bi (0.2172, 0.2172, 0.4617)
O (0.4682, 0.8082, 0.1162)
O (0.8082, 0.4682, 0.1162)
O (0.1468, 0.1468, 0.0667)
O (0.1918, 0.5318, 0.6162)
O (0.5318, 0.1918, 0.6162)
O (0.8532, 0.8532, 0.5667)
Li (0.8619, 0.5054, 0.4711)
Li (0.1381, 0.4946, 0.9711)
Li (0.4946, 0.1381, 0.9711)
Li (0.5054, 0.8619, 0.4711)

Calculated density: 5.6 g cm⁻³
Volume: 161.82 Å³/cell
Magnetic moment: 0.0 μB per cell
Symmetry: Cmc2_1 (36)



Energies relative to the most stable structure, in kJ/mol of atoms: #A 2.1; #B 0.0; #C 5.8.



#A
A plane-wave DFT calculation with PBE-GGA was carried out for Li2BiO3 after structural relaxation.

Lattice parameters (Å, degrees): 3.2972 4.3813 5.5501 113.25 107.28 90.00
Sites, in units of the cell vectors:
O (0.1644, 0.6644, 0.8289)
O (0.8356, 0.3356, 0.1711)
O (0.5000, 0.0000, 0.5000)
Bi (0.5000, 0.5000, 0.5000)
Li (0.8243, 0.8243, 0.1485)
Li (0.1757, 0.1757, 0.8515)

Calculated density: 6.5 g cm⁻³
Volume: 69.71 Å³/cell
Magnetic moment: 0.0 μB per cell
Symmetry: Immm (71)



#B
A plane-wave DFT calculation with PBE-GGA was carried out for Li2BiO3 after structural relaxation.

Lattice parameters (Å, degrees): 5.4431 5.4431 3.4566 90.00 90.00 131.94
Sites, in units of the cell vectors:
Bi (0.0000, 0.0000, 0.0000)
O (0.5000, 0.5000, 0.0000)
O (0.8522, 0.1478, 0.5000)
O (0.1478, 0.8522, 0.5000)
Li (0.3443, 0.6557, 0.5000)
Li (0.6557, 0.3443, 0.5000)

Calculated density: 5.9 g cm⁻³
Volume: 76.18 Å³/cell
Magnetic moment: 0.0 μB per cell
Symmetry: Cmmm (65)



Energies relative to the most stable structure, in kJ/mol of atoms: #A 2.1; #B 0.0.



#A
A plane-wave DFT calculation with PBE-GGA was carried out for Li2BiO3 after structural relaxation.

Lattice parameters (Å, degrees): 5.7739 5.7947 9.4741 90.00 90.00 90.00
Sites, in units of the cell vectors:
Bi (0.5000, 0.2500, 0.3998)
Bi (0.0000, 0.2500, 0.1002)
Bi (0.0000, 0.7500, 0.8998)
Bi (0.5000, 0.7500, 0.6002)
O (0.7120, 0.9152, 0.4240)
O (0.2500, 0.0911, 0.2500)
O (0.7880, 0.9152, 0.0760)
O (0.2880, 0.5848, 0.4240)
O (0.7500, 0.9089, 0.7500)
O (0.7500, 0.4089, 0.2500)
O (0.7120, 0.4152, 0.5760)
O (0.7880, 0.4152, 0.9240)
O (0.2120, 0.0848, 0.9240)
O (0.2880, 0.0848, 0.5760)
O (0.2500, 0.5911, 0.7500)
O (0.2120, 0.5848, 0.0760)
Li (0.7500, 0.2454, 0.7500)
Li (0.5000, 0.5000, 0.0000)
Li (0.2500, 0.2546, 0.7500)
Li (0.2500, 0.7546, 0.2500)
Li (0.7500, 0.7454, 0.2500)
Li (0.0000, 0.5000, 0.5000)
Li (0.0000, 0.0000, 0.5000)
Li (0.5000, 0.0000, 0.0000)

Calculated density: 5.7 g cm⁻³
Volume: 316.98 Å³/cell
Magnetic moment: 0.0 μB per cell
Symmetry: Pnna (52)



#B
A plane-wave DFT calculation with PBE-GGA was carried out for Li2BiO3 after structural relaxation.

Lattice parameters (Å, degrees): 3.3772 6.4127 7.6660 111.85 90.00 105.27
Sites, in units of the cell vectors:
O (0.3521, 0.7041, 0.4410)
O (0.9820, 0.9641, 0.8009)
O (0.6479, 0.2959, 0.5590)
O (0.6793, 0.3585, 0.0812)
O (0.0180, 0.0359, 0.1991)
O (0.3207, 0.6415, 0.9188)
Li (0.7285, 0.4571, 0.8580)
Li (0.1858, 0.3716, 0.3813)
Li (0.2715, 0.5429, 0.1420)
Li (0.8142, 0.6284, 0.6187)
Bi (0.5000, 0.0000, 0.0000)
Bi (0.0000, 0.0000, 0.5000)

Calculated density: 6.1 g cm⁻³
Volume: 147.76 Å³/cell
Magnetic moment: 0.0 μB per cell
Symmetry: C2/m (12)



#C
A plane-wave DFT calculation with PBE-GGA was carried out for Li2BiO3 after structural relaxation.

Lattice parameters (Å, degrees): 5.6733 5.6733 10.4089 86.32 86.32 117.73
Sites, in units of the cell vectors:
Li (0.0000, 0.5000, 0.0000)
Li (0.0726, 0.2845, 0.5116)
Li (0.7669, 0.2331, 0.7500)
Li (0.2845, 0.0726, 0.0116)
Li (0.5000, 0.0000, 0.5000)
Li (0.7155, 0.9274, 0.9884)
Li (0.2331, 0.7669, 0.2500)
Li (0.9274, 0.7155, 0.4884)
O (0.1743, 0.0617, 0.3689)
O (0.8589, 0.3688, 0.3823)
O (0.6312, 0.1411, 0.1177)
O (0.1411, 0.6312, 0.6177)
O (0.0617, 0.1743, 0.8689)
O (0.8257, 0.9383, 0.6311)
O (0.5549, 0.7840, 0.3615)
O (0.3688, 0.8589, 0.8823)
O (0.7840, 0.5549, 0.8615)
O (0.9383, 0.8257, 0.1311)
O (0.2160, 0.4451, 0.1385)
O (0.4451, 0.2160, 0.6385)
Bi (0.8961, 0.1039, 0.2500)
Bi (0.1039, 0.8961, 0.7500)
Bi (0.4410, 0.5590, 0.7500)
Bi (0.5590, 0.4410, 0.2500)

Calculated density: 6.1 g cm⁻³
Volume: 294.25 Å³/cell
Magnetic moment: 0.0 μB per cell
Symmetry: C2/c (15)



Energies relative to the most stable structure, in kJ/mol of atoms: #A 3.2; #B 3.7; #C 0.0.



#A
A plane-wave DFT calculation with PBE-GGA was carried out for Li3BiO after structural relaxation.

Lattice parameters (Å, degrees): 5.2909 5.2909 5.2909 90.00 90.00 90.00
Each line ends with the local moment (μB).
Sites, in units of the cell vectors:
Li (0.5000, 0.0000, 0.0000)  0.01
Li (0.0000, 0.0000, 0.5000)  0.01
Li (0.0000, 0.5000, 0.0000)  0.01
Bi (0.0000, 0.0000, 0.0000)  0.40
O (0.5000, 0.5000, 0.5000)  1.11

Calculated density: 2.8 g cm⁻³
Volume: 148.11 Å³/cell
Magnetic moment: 2.0 μB per cell
Symmetry: Pm-3m (221)



#B
A plane-wave DFT calculation with PBE-GGA was carried out for Li3BiO after structural relaxation.

Lattice parameters (Å, degrees): 3.7270 5.7906 8.2806 102.02 90.00 108.77
Sites, in units of the cell vectors:
O (0.8706, 0.7411, 0.0575)
O (0.1294, 0.2589, 0.9425)
Bi (0.3740, 0.7480, 0.5678)
Bi (0.6260, 0.2520, 0.4322)
Li (0.1274, 0.2547, 0.7156)
Li (0.3176, 0.6351, 0.0283)
Li (0.0547, 0.1093, 0.1306)
Li (0.8726, 0.7453, 0.2844)
Li (0.9453, 0.8907, 0.8694)
Li (0.6824, 0.3649, 0.9717)

Calculated density: 4.9 g cm⁻³
Volume: 165.05 Å³/cell
Magnetic moment: 0.0 μB per cell
Symmetry: C2/m (12)



#C
A plane-wave DFT calculation with PBE-GGA was carried out for Li3BiO after structural relaxation.

Lattice parameters (Å, degrees): 4.1399 4.1399 4.1399 90.00 90.00 90.00
Sites, in units of the cell vectors:
O (0.0000, 0.0000, 0.0000)
Bi (0.5000, 0.5000, 0.5000)
Li (0.0000, 0.5000, 0.0000)
Li (0.0000, 0.0000, 0.5000)
Li (0.5000, 0.0000, 0.0000)

Calculated density: 5.8 g cm⁻³
Volume: 70.95 Å³/cell
Magnetic moment: 0.0 μB per cell
Symmetry: Pm-3m (221)



Energies relative to the most stable structure, in kJ/mol of atoms: #A 133.9; #B 0.0; #C 20.4.